1.
A plane-wave DFT calculation with PBE-GGA was carried out for CaGaAu6 after structural relaxation.

## Properties
**Energy of formation from the pure elements**: -0.310 eV per atom

a = 3.9863 Å, b = 3.9863 Å, c = 10.5784 Å
α = 90.00°, β = 90.00°, γ = 90.00°
With the nearest neighbours (Å) after each atom.
Space group P4/mmm (No. 123)
One atom of each set of equivalent atoms:
Ca 0.0000 0.0000 0.0000 (multiplicity 1)  8 Au 3.12
Ga 0.0000 0.0000 0.5000 (multiplicity 1)  8 Au 2.72
Au 0.0000 0.5000 0.3247 (multiplicity 4)  2 Ga 2.72, 6 Au 2.82-2.89
Au 0.5000 0.5000 0.1270 (multiplicity 2)  5 Au 2.69-2.89

2.
A plane-wave DFT calculation with PBE-GGA was carried out for CaGaAu3 after structural relaxation.

## Properties
**Energy of formation from the pure elements**: -0.521 eV per atom
**Relative energy among the computed polymorphs**: 57.4 meV/atom

a = 9.1244 Å, b = 4.8256 Å, c = 9.2771 Å
α = 90.00°, β = 90.00°, γ = 90.00°
With the nearest neighbours (Å) after each atom.
Space group Pnma (No. 62)
One atom of each set of equivalent atoms:
Ca 0.2336 0.2500 0.0045 (multiplicity 4)  7 Au 3.03-3.25, 3 Ga 3.21-3.29
Ga 0.1081 0.2500 0.6723 (multiplicity 4)  3 Au 2.52-2.58
Au 0.0746 0.2500 0.3962 (multiplicity 4)  1 Ga 2.58, 1 Au 2.78
Au 0.1074 0.7500 0.8436 (multiplicity 4)  3 Au 2.78-2.94, 2 Ga 2.89, 2 Ca 3.06
Au 0.1092 0.7500 0.1591 (multiplicity 4)  2 Ga 2.52-2.58

3.
A plane-wave DFT calculation with PBE-GGA was carried out for Ca3Ga7Au2 after structural relaxation.

## Properties
**Energy of formation from the pure elements**: -0.470 eV per atom
**Relative energy among the computed polymorphs**: 0.0 meV/atom

a = 5.6254 Å, b = 5.6254 Å, c = 26.7614 Å
α = 90.00°, β = 90.00°, γ = 120.00°
With the nearest neighbours (Å) after each atom.
Space group R-3m (No. 166, hexagonal axes)
One atom of each set of equivalent atoms:
Ca 0.0000 0.0000 0.0000 (multiplicity 3)  6 Au 3.25, 12 Ga 3.59
Ca 0.0000 0.0000 0.1425 (multiplicity 6)  12 Ga 3.23-3.31, 3 Ca 3.50
Ga 0.0000 0.0000 0.5000 (multiplicity 3)  6 Ga 2.79
Ga 0.0116 0.5058 0.9168 (multiplicity 18)  2 Au 2.70-2.82, 5 Ga 2.71-2.91
Au 0.0000 0.0000 0.3377 (multiplicity 6)  6 Ga 2.70-2.82

4.
A plane-wave DFT calculation with PBE-GGA was carried out for Ca3Ga3Au after structural relaxation.

## Properties
**Energy of formation from the pure elements**: -0.557 eV per atom

a = 10.9895 Å, b = 4.4963 Å, c = 14.8606 Å
α = 90.00°, β = 110.06°, γ = 90.00°
With the nearest neighbours (Å) after each atom.
Space group C2/m (No. 12)
One atom of each set of equivalent atoms:
Ca 0.0322 0.0000 0.3813 (multiplicity 4)  7 Ga 3.17-3.44, 4 Au 3.20-3.42
Ca 0.1091 0.0000 0.9242 (multiplicity 4)  7 Ga 3.19-3.22
Ca 0.2455 0.0000 0.2302 (multiplicity 4)  6 Ga 3.20-3.22, 2 Au 3.28
Ga 0.0363 0.5000 0.2303 (multiplicity 4)  1 Ga 2.61, 1 Au 2.69
Ga 0.1019 0.5000 0.0776 (multiplicity 4)  2 Ga 2.61
Ga 0.1344 0.5000 0.5393 (multiplicity 4)  3 Au 2.63-2.86, 1 Ga 2.78
Au 0.2459 0.5000 0.3911 (multiplicity 4)  4 Ga 2.63-2.86

5.
A plane-wave DFT calculation with PBE-GGA was carried out for CaGa3Au6 after structural relaxation.

## Properties
**Energy of formation from the pure elements**: -0.150 eV per atom
**Relative energy among the computed polymorphs**: 159.9 meV/atom

a = 12.5273 Å, b = 12.5273 Å, c = 4.8076 Å
α = 90.00°, β = 90.00°, γ = 120.00°
With the nearest neighbours (Å) after each atom.
Space group R3m (No. 160, hexagonal axes)
One atom of each set of equivalent atoms:
Ca 0.0000 0.0000 0.0000 (multiplicity 3)  9 Au 2.89-3.01
Ga 0.0302 0.5151 0.6500 (multiplicity 9)  4 Au 2.65-2.88
Au 0.0787 0.1574 0.4848 (multiplicity 9)  5 Au 2.72-2.96, 2 Ga 2.87-2.88, 2 Ca 2.89-3.01
Au 0.2041 0.4083 0.4852 (multiplicity 9)  2 Ga 2.65-2.67, 3 Au 2.72-2.93, 1 Ca 2.94

6.
A plane-wave DFT calculation with PBE-GGA was carried out for CaGaAu2 after structural relaxation.

## Properties
**Energy of formation from the pure elements**: -0.505 eV per atom

a = 3.5870 Å, b = 3.5870 Å, c = 6.5386 Å
α = 90.00°, β = 90.00°, γ = 90.00°
With the nearest neighbours (Å) after each atom.
Space group P4/mmm (No. 123)
One atom of each set of equivalent atoms:
Ca 0.0000 0.0000 0.0000 (multiplicity 1)  8 Au 3.10, 2 Ga 3.27
Ga 0.0000 0.0000 0.5000 (multiplicity 1)  8 Au 2.94, 2 Ca 3.27
Au 0.5000 0.5000 0.2730 (multiplicity 2)  4 Ga 2.94, 1 Au 2.97, 4 Ca 3.10

7.
A plane-wave DFT calculation with PBE-GGA was carried out for Ca4GaAu after structural relaxation.

## Properties
**Energy of formation from the pure elements**: -0.440 eV per atom
**Relative energy among the computed polymorphs**: 10.5 meV/atom

a = 9.5409 Å, b = 14.0278 Å, c = 6.8231 Å
α = 90.00°, β = 124.09°, γ = 90.00°
With the nearest neighbours (Å) after each atom.
Space group C2/c (No. 15)
One atom of each set of equivalent atoms:
Ca 0.1256 0.1810 0.0914 (multiplicity 8)  2 Ga 3.16-3.22, 2 Au 3.19-3.24
Ca 0.1957 0.4412 0.2636 (multiplicity 8)  2 Au 3.04-3.09, 2 Ga 3.10-3.27
Ga 0.0000 0.3646 0.7500 (multiplicity 4)  8 Ca 3.10-3.27
Au 0.0000 0.0045 0.2500 (multiplicity 4)  8 Ca 3.04-3.24

8.
A plane-wave DFT calculation with PBE-GGA was carried out for Ca2Ga6Au3 after structural relaxation.

## Properties
**Energy of formation from the pure elements**: -0.487 eV per atom

a = 7.8991 Å, b = 7.8991 Å, c = 4.2504 Å
α = 90.00°, β = 90.00°, γ = 120.00°
With the nearest neighbours (Å) after each atom.
Space group P-62m (No. 189)
One atom of each set of equivalent atoms:
Ca 0.3333 0.6667 0.0000 (multiplicity 2)  6 Au 3.26, 9 Ga 3.34-3.50
Ga 0.0000 0.2994 0.5000 (multiplicity 3)  3 Au 2.55-2.73
Ga 0.0000 0.8089 0.0000 (multiplicity 3)  2 Au 2.59, 2 Ga 2.62
Au 0.0000 0.6221 0.5000 (multiplicity 3)  5 Ga 2.55-2.73

9.
A plane-wave DFT calculation with PBE-GGA was carried out for Ca4GaAu after structural relaxation.

## Properties
**Energy of formation from the pure elements**: -0.451 eV per atom
**Relative energy among the computed polymorphs**: 0.0 meV/atom

a = 9.6455 Å, b = 13.8241 Å, c = 6.8577 Å
α = 90.00°, β = 124.76°, γ = 90.00°
With the nearest neighbours (Å) after each atom.
Space group C2/c (No. 15)
One atom of each set of equivalent atoms:
Ca 0.1274 0.1792 0.0963 (multiplicity 8)  2 Ga 3.17-3.19, 2 Au 3.17-3.22
Ca 0.1946 0.4418 0.2588 (multiplicity 8)  2 Ga 3.06-3.09, 2 Au 3.06-3.25
Ga 0.0000 0.0009 0.2500 (multiplicity 4)  8 Ca 3.06-3.19
Au 0.0000 0.3645 0.7500 (multiplicity 4)  8 Ca 3.06-3.25

10.
A plane-wave DFT calculation with PBE-GGA was carried out for Ca2Ga2Au after structural relaxation.

## Properties
**Energy of formation from the pure elements**: -0.531 eV per atom
**Relative energy among the computed polymorphs**: 68.4 meV/atom

a = 7.0754 Å, b = 7.0754 Å, c = 4.6308 Å
α = 90.00°, β = 90.00°, γ = 90.00°
With the nearest neighbours (Å) after each atom.
Space group P4/mbm (No. 127)
One atom of each set of equivalent atoms:
Ca 0.1754 0.3246 0.0000 (multiplicity 4)  6 Ga 3.04-3.18
Ga 0.1282 0.6282 0.5000 (multiplicity 4)  1 Ga 2.57, 2 Au 2.78
Au 0.0000 0.0000 0.5000 (multiplicity 2)  4 Ga 2.78

11.
A plane-wave DFT calculation with PBE-GGA was carried out for Ca2GaAu6 after structural relaxation.

## Properties
**Energy of formation from the pure elements**: -0.563 eV per atom

a = 10.6204 Å, b = 6.1434 Å, c = 5.7888 Å
α = 90.00°, β = 90.09°, γ = 90.00°
With the nearest neighbours (Å) after each atom.
Space group C2/m (No. 12)
One atom of each set of equivalent atoms:
Ca 0.1669 0.0000 0.3328 (multiplicity 4)  12 Au 3.18-3.45
Ga 0.0000 0.5000 0.5000 (multiplicity 2)  6 Au 2.61
Au 0.0892 0.2322 0.8098 (multiplicity 8)  1 Ga 2.61, 4 Au 2.85-2.91
Au 0.1782 0.5000 0.1900 (multiplicity 4)  1 Ga 2.61, 4 Au 2.85-2.91

12.
A plane-wave DFT calculation with PBE-GGA was carried out for Ca3Ga2Au3 after structural relaxation.

## Properties
**Energy of formation from the pure elements**: -0.699 eV per atom
**Relative energy among the computed polymorphs**: 5.7 meV/atom

a = 8.0178 Å, b = 15.5307 Å, c = 6.0160 Å
α = 90.00°, β = 90.00°, γ = 90.00°
With the nearest neighbours (Å) after each atom.
Space group Pnma (No. 62)
One atom of each set of equivalent atoms:
Ca 0.0288 0.1057 0.1381 (multiplicity 8)  6 Au 3.16-3.29, 3 Ga 3.18-3.30
Ca 0.1716 0.2500 0.6072 (multiplicity 4)  5 Au 3.15-3.27, 4 Ga 3.21-3.24
Ga 0.1211 0.6067 0.3732 (multiplicity 8)  4 Au 2.54-2.68
Au 0.1802 0.0395 0.5928 (multiplicity 8)  3 Ga 2.54-2.67
Au 0.1871 0.7500 0.6062 (multiplicity 4)  2 Ga 2.68

Number 1: DOS(E_F) 3.11 states/eV per cell, total magnetic moment 0.00 Bohr magnetons per cell. Number 2: DOS(E_F) 6.98 states/eV per cell, total magnetic moment 0.00 Bohr magnetons per cell. Number 3: DOS(E_F) 11.08 states/eV per cell, total magnetic moment 0.00 Bohr magnetons per cell. Number 4: DOS(E_F) 23.39 states/eV per cell, total magnetic moment 0.00 Bohr magnetons per cell. Number 5: DOS(E_F) 10.87 states/eV per cell, total magnetic moment 0.00 Bohr magnetons per cell. Number 6: DOS(E_F) 1.56 states/eV per cell, total magnetic moment 0.00 Bohr magnetons per cell. Number 7: DOS(E_F) 18.78 states/eV per cell, total magnetic moment 0.00 Bohr magnetons per cell. Number 8: DOS(E_F) 6.37 states/eV per cell, total magnetic moment 0.00 Bohr magnetons per cell. Number 9: DOS(E_F) 17.78 states/eV per cell, total magnetic moment 0.00 Bohr magnetons per cell. Number 10: DOS(E_F) 5.90 states/eV per cell, total magnetic moment 0.00 Bohr magnetons per cell. Number 11: DOS(E_F) 5.04 states/eV per cell, total magnetic moment 0.00 Bohr magnetons per cell. Number 12: DOS(E_F) 16.90 states/eV per cell, total magnetic moment 0.00 Bohr magnetons per cell.